(1)
Tl6CdSn2 after structural relaxation, computed with PBE.

Lattice parameters (Å, degrees): 3.516 3.516 25.009 90.00 90.00 120.00
Positions (direct):
Tl 0.333 0.667 0.434
Tl 0.333 0.667 0.782
Tl 0.667 0.333 0.898
Tl 0.667 0.333 0.102
Tl 0.333 0.667 0.218
Tl 0.333 0.667 0.566
Sn 0.667 0.333 0.674
Sn 0.667 0.333 0.326
Cd 0.333 0.667 0.000

Values from the calculation:
Density of states at the Fermi level ... 3.06 states/eV/cell
Formation enthalpy at 0 K ... 0.031 eV per atom
Symmetry ... P-6m2
Relative energy among the computed polymorphs ... 0 meV per atom

=====

(2)
Sm5YHg6 after structural relaxation, computed with PBE.

Lattice parameters (Å, degrees): 5.330 7.618 8.441 90.00 71.59 90.00
Site moments in Bohr magnetons follow the coordinates.
Positions (direct):
Hg 0.835 0.753 0.329  0.02
Hg 0.835 0.247 0.329  0.02
Hg 0.500 0.245 0.000  0.02
Hg 0.165 0.753 0.671  0.02
Hg 0.500 0.755 0.000  0.02
Hg 0.165 0.247 0.671  0.02
Sm 0.668 0.500 0.664  0.20
Sm 0.667 0.000 0.667  0.17
Sm 0.000 0.500 0.000  0.17
Sm 0.332 0.500 0.336  0.20
Sm 0.333 0.000 0.333  0.17
Y 0.000 0.000 0.000  0.13

Values from the calculation:
Density of states at the Fermi level ... 15.03 states/eV/cell
Formation enthalpy at 0 K ... -0.477 eV per atom
Symmetry ... Cmmm

=====

(3)
MnTlH2 after structural relaxation, computed with PBE.

Lattice parameters (Å, degrees): 5.398 5.398 5.576 61.05 61.05 90.00
Site moments in Bohr magnetons follow the coordinates.
Positions (direct):
Tl 0.750 0.250 0.500  -0.01
Tl 0.000 0.000 0.000  -0.01
H 0.875 0.626 0.750  -0.02
H 0.376 0.125 0.250  -0.02
H 0.375 0.624 0.750  -0.02
H 0.374 0.625 0.250  -0.02
Mn 0.500 0.500 0.000  3.81
Mn 0.250 0.750 0.500  3.81

Values from the calculation:
Density of states at the Fermi level ... 0.40 states/eV/cell
Symmetry ... I-42d
Relative energy among the computed polymorphs ... 0 meV per atom

=====

(4)
Tm3MnTl4S8 after structural relaxation, computed with PBE.

Lattice parameters (Å, degrees): 7.806 8.719 7.807 116.59 120.00 90.00
Site moments in Bohr magnetons follow the coordinates.
Positions (direct):
Tl 0.000 0.000 0.500  0.01
Tl 0.500 0.000 0.000  0.00
Tl 0.000 0.000 0.000  0.01
Tl 0.500 0.000 0.500  0.01
S 0.267 0.302 0.535  0.00
S 0.778 0.309 0.556  -0.01
S 0.747 0.690 0.969  -0.01
S 0.222 0.691 0.444  -0.01
S 0.222 0.690 0.969  -0.01
S 0.253 0.310 0.031  -0.01
S 0.778 0.310 0.031  -0.01
S 0.733 0.698 0.465  0.00
Tm 0.500 0.500 0.500  0.02
Tm 0.000 0.500 0.500  0.02
Tm 0.500 0.500 0.000  0.02
Mn 0.000 0.500 0.000  3.82

Values from the calculation:
Density of states at the Fermi level ... 4.11 states/eV/cell
Symmetry ... R-3m
Formation energy without anion corrections ... -115 kJ/mol of atoms

=====

(5)
FeSi after structural relaxation, computed with PBE.

Lattice parameters (Å, degrees): 9.979 13.382 2.697 90.00 90.00 90.00
Site moments in Bohr magnetons follow the coordinates.
Positions (direct):
Si 0.613 0.250 0.250  -0.03
Si 0.137 0.000 0.000  -0.03
Si 0.613 0.750 0.750  -0.03
Si 0.637 0.500 0.000  -0.03
Si 0.863 0.500 0.500  -0.03
Si 0.113 0.750 0.250  -0.03
Si 0.363 0.000 0.500  -0.03
Si 0.637 0.000 0.500  -0.03
Si 0.863 0.000 0.000  -0.03
Si 0.113 0.250 0.750  -0.03
Si 0.887 0.750 0.750  -0.03
Si 0.363 0.500 0.000  -0.03
Si 0.887 0.250 0.250  -0.03
Si 0.387 0.750 0.250  -0.03
Si 0.387 0.250 0.750  -0.03
Si 0.137 0.500 0.500  -0.03
Fe 0.750 0.145 0.750  0.65
Fe 0.500 0.395 0.500  0.65
Fe 0.000 0.605 0.000  0.65
Fe 0.500 0.895 0.000  0.65
Fe 0.750 0.355 0.750  0.65
Fe 0.500 0.105 0.000  0.65
Fe 0.250 0.855 0.750  0.65
Fe 0.000 0.895 0.500  0.65
Fe 0.000 0.105 0.500  0.65
Fe 0.250 0.145 0.250  0.65
Fe 0.750 0.855 0.250  0.65
Fe 0.250 0.645 0.750  0.65
Fe 0.250 0.355 0.250  0.65
Fe 0.750 0.645 0.250  0.65
Fe 0.500 0.605 0.500  0.65
Fe 0.000 0.395 0.000  0.65

Values from the calculation:
Density of states at the Fermi level ... 34.52 states/eV/cell
Symmetry ... Fddd
Formation energy without anion corrections ... -27 kJ/mol of atoms

=====

(6)
NiSbOs2 after structural relaxation, computed with PBE.

Lattice parameters (Å, degrees): 4.773 4.773 4.773 131.40 131.40 71.18
Positions (direct):
Os 0.000 0.000 0.000
Os 0.250 0.750 0.500
Sb 0.500 0.500 0.000
Ni 0.750 0.250 0.500

Values from the calculation:
Density of states at the Fermi level ... 3.56 states/eV/cell
Symmetry ... I-4m2
Formation energy without anion corrections ... 43 kJ/mol of atoms

=====

(7)
ZrTe2Se after structural relaxation, computed with PBE.

Lattice parameters (Å, degrees): 3.281 3.281 11.299 90.00 90.00 89.99
Positions (direct):
Zr 0.000 0.000 0.524
Se 0.500 0.500 0.655
Te 0.500 0.500 0.333
Te 0.000 0.000 0.988

Values from the calculation:
Density of states at the Fermi level ... 2.83 states/eV/cell
Symmetry ... P4mm
Formation energy without anion corrections ... -53 kJ/mol of atoms

=====

(8)
Sr2Ac2Rh after structural relaxation, computed with PBE.

Lattice parameters (Å, degrees): 5.867 5.867 6.211 90.00 90.00 90.00
Positions (direct):
Ac 0.000 0.500 0.000
Ac 0.500 0.000 0.000
Rh 0.000 0.000 0.000
Sr 0.500 0.500 0.500
Sr 0.000 0.000 0.500

Values from the calculation:
Density of states at the Fermi level ... 4.19 states/eV/cell
Formation enthalpy at 0 K ... -0.279 eV per atom
Symmetry ... P4/mmm

=====

(9)
BaFe4 after structural relaxation, computed with PBE.

Lattice parameters (Å, degrees): 5.635 5.635 5.635 93.95 93.95 149.57
Site moments in Bohr magnetons follow the coordinates.
Positions (direct):
Fe 0.131 0.626 0.758  2.66
Fe 0.626 0.869 0.495  2.66
Fe 0.869 0.374 0.242  2.66
Fe 0.374 0.131 0.505  2.66
Ba 0.000 0.000 0.000  -0.04

Values from the calculation:
Density of states at the Fermi level ... 4.64 states/eV/cell
Formation enthalpy at 0 K ... 0.619 eV per atom
Symmetry ... I4/m

=====

(10)
FeTcAs2Pd after structural relaxation, computed with PBE.

Lattice parameters (Å, degrees): 4.698 4.906 4.698 90.00 90.00 90.00
Site moments in Bohr magnetons follow the coordinates.
Positions (direct):
Tc 0.000 0.500 0.000  0.15
Pd 0.000 0.000 0.000  0.02
Fe 0.500 0.500 0.500  3.36
As 0.000 0.000 0.500  0.01
As 0.500 0.000 0.000  -0.04

Values from the calculation:
Density of states at the Fermi level ... 9.44 states/eV/cell
Formation enthalpy at 0 K ... 1.491 eV per atom
Symmetry ... P4/mmm

=====

(11)
B after structural relaxation, computed with PBE.

Lattice parameters (Å, degrees): 7.348 7.348 2.781 90.00 90.00 90.00
Positions (direct):
B 0.402 0.806 0.500
B 0.433 0.182 0.000
B 0.383 0.955 0.000
B 0.664 0.424 0.500
B 0.182 0.567 0.000
B 0.336 0.576 0.500
B 0.194 0.402 0.500
B 0.567 0.818 0.000
B 0.955 0.617 0.000
B 0.424 0.336 0.500
B 0.576 0.664 0.500
B 0.818 0.433 0.000
B 0.045 0.383 0.000
B 0.617 0.045 0.000
B 0.806 0.598 0.500
B 0.598 0.194 0.500

Values from the calculation:
Density of states at the Fermi level ... 2.63 states/eV/cell
Formation enthalpy at 0 K ... 0.379 eV per atom
Symmetry ... P4/m
Relative energy among the computed polymorphs ... 379 meV per atom

=====

(12)
Na2ZrTe2 after structural relaxation, computed with PBE.

Lattice parameters (Å, degrees): 5.590 5.590 5.844 61.42 61.42 90.00
Site moments in Bohr magnetons follow the coordinates.
Positions (direct):
Te 0.250 0.750 0.500  -0.07
Te 0.750 0.250 0.500  -0.07
Na 0.644 0.644 0.713  0.01
Na 0.356 0.356 0.287  0.01
Zr 0.000 0.000 0.000  1.27

Values from the calculation:
Density of states at the Fermi level ... 0.03 states/eV/cell
Symmetry ... I4/mmm
Relative energy among the computed polymorphs ... 129 meV per atom
Formation energy without anion corrections ... -11 kJ/mol of atoms

=====

Number 1: V 29.754 Å³/atom. Number 2: V 27.101 Å³/atom. Number 3: V 14.808 Å³/atom. Number 4: V 24.621 Å³/atom. Number 5: V 11.255 Å³/atom. Number 6: V 14.974 Å³/atom. Number 7: V 30.407 Å³/atom. Number 8: V 42.755 Å³/atom. Number 9: V 17.490 Å³/atom. Number 10: V 21.659 Å³/atom. Number 11: V 9.385 Å³/atom. Number 12: V 26.899 Å³/atom.